The following is a meta-GGA SCAN calculation of Li2MgPb at its PBEsol-relaxed geometry, from Alexandria.

Electronic total energy: -21.69 eV/atom
Energy of formation: -307 meV per atom
Space group: Imm2 (44)

```
Li2MgPb
1.0
-0.210 -0.486 -3.745
4.556 -0.973 -0.130
-3.104 -3.717 2.567
Pb Mg Li
1 1 2
Direct
0.744 0.244 0.488 Pb
0.506 0.506 0.012 Mg
0.994 0.994 0.989 Li
0.256 0.756 0.511 Li
```